9
Lattice="5.064 0.000 0.000 0.000 5.064 0.000 0.000 0.000 9.338" Properties=species:S:1:pos:R:3 comment="BaLaSb2Pd5, relaxed, DFT PBE-GGA" mass_density_g_cm3=7.29 dos_at_fermi_per_ev_cell=4.31 total_energy_ev_per_atom=-5.129 crystal_system=tetragonal magmom_total_mub_per_fu=0.00 pbc="T T T"
Ba 0.000 0.000 0.000
La 0.000 0.000 4.669
Sb 2.532 2.532 2.568
Sb 2.532 2.532 6.771
Pd 0.000 2.532 3.106
Pd 0.000 2.532 6.233
Pd 2.532 0.000 3.106
Pd 2.532 0.000 6.233
Pd 2.532 2.532 0.000

***

9
Lattice="8.767 -2.162 0.000 8.767 2.162 0.000 -1.027 0.000 9.004" Properties=species:S:1:pos:R:3 comment="Tl6Se2I, relaxed, DFT PBE-GGA" e_above_lowest_polymorph_ev_per_atom=0.028 mass_density_g_cm3=7.35 dos_at_fermi_per_ev_cell=1.63 total_energy_ev_per_atom=-2.828 crystal_system=monoclinic magmom_total_mub_per_fu=0.00 pbc="T T T"
Tl 0.806 0.000 1.425
Tl 2.031 0.000 7.778
Tl 5.388 0.000 4.982
Tl 11.117 0.000 4.022
Tl 14.475 0.000 1.226
Tl 15.700 0.000 7.579
Se 3.794 0.000 2.104
Se 12.712 0.000 6.900
I -0.514 0.000 4.502